Entry 1:
## CsNb2BTe (PBE)

Data for a relaxed CsNb2BTe crystal.

space group = No. 123
uncorrected formation energy = 5.1 eV/f.u.

abc: 4.6218 5.9117 4.6218
angles: 90.00 90.00 90.00
Each line ends with the local moment (μB).
Atoms (fractional coordinates):
Nb1 0.0000 0.0000 0.5000  0.75
Nb2 0.5000 0.0000 0.0000  0.68
B1 0.0000 0.0000 0.0000  -0.04
Cs1 0.0000 0.5000 0.0000  0.02
Te1 0.5000 0.5000 0.5000  -0.10

---

Entry 2:
## TiBi2Pd9 (PBE)

Data for a relaxed TiBi2Pd9 crystal.

formation energy from the elements = -363 meV/atom
space group = No. 123

abc: 4.0642 4.0642 12.2591
angles: 90.00 90.00 90.00
Atoms (fractional coordinates):
Pd1 0.0000 0.5000 0.5000
Pd2 0.5000 0.0000 0.5000
Pd3 0.5000 0.0000 0.1507
Pd4 0.0000 0.5000 0.8493
Pd5 0.0000 0.5000 0.1507
Pd6 0.5000 0.5000 0.3258
Pd7 0.5000 0.0000 0.8493
Pd8 0.5000 0.5000 0.6742
Pd9 0.5000 0.5000 0.0000
Bi1 0.0000 0.0000 0.6717
Bi2 0.0000 0.0000 0.3283
Ti1 0.0000 0.0000 0.0000

---

Entry 3:
## TcOs2Br2 (PBE)

Data for a relaxed TcOs2Br2 crystal.

energy above the most stable polymorph in this dataset = 395 meV per atom
space group = No. 139
uncorrected formation energy = 7.8 eV/f.u.

abc: 4.0392 4.0392 6.5357
angles: 72.00 72.00 90.00
Each line ends with the local moment (μB).
Atoms (fractional coordinates):
Br1 0.2500 0.7500 0.5000  0.00
Br2 0.7500 0.2500 0.5000  0.00
Os1 0.4018 0.4018 0.1963  0.12
Os2 0.5982 0.5982 0.8037  0.12
Tc1 0.0000 0.0000 0.0000  2.44

---

Entry 4:
## Mg2GeIr (PBE)

Data for a relaxed Mg2GeIr crystal.

formation energy from the elements = -232 meV/atom
space group = No. 123

abc: 3.9192 4.0663 4.0663
angles: 90.00 90.00 90.00
Atoms (fractional coordinates):
Mg1 0.0000 0.0000 0.5000
Mg2 0.0000 0.5000 0.0000
Ir1 0.5000 0.0000 0.0000
Ge1 0.5000 0.5000 0.5000

---

Entry 5:
## LiGeAs2Se (PBE)

Data for a relaxed LiGeAs2Se crystal.

energy above the most stable polymorph in this dataset = 79 meV per atom
space group = No. 123
uncorrected formation energy = 2.4 eV/f.u.

abc: 4.4737 4.4737 5.1257
angles: 90.00 90.00 90.00
Atoms (fractional coordinates):
As1 0.0000 0.5000 0.0000
As2 0.5000 0.0000 0.0000
Ge1 0.5000 0.5000 0.5000
Li1 0.0000 0.0000 0.0000
Se1 0.0000 0.0000 0.5000

---

Entry 6:
## BeCl3 (PBE)

Data for a relaxed BeCl3 crystal.

energy above the most stable polymorph in this dataset = 179 meV per atom
space group = No. 122
uncorrected formation energy = -2.5 eV/f.u.

abc: 6.4270 6.4270 6.3527
angles: 59.61 59.61 90.00
Each line ends with the local moment (μB).
Atoms (fractional coordinates):
Be1 0.5000 0.5000 0.0000  0.00
Be2 0.2500 0.7500 0.5000  0.00
Cl1 0.3750 0.5245 0.7500  0.07
Cl2 0.0000 0.0000 0.0000  0.63
Cl3 0.2745 0.6250 0.2500  0.07
Cl4 0.4755 0.1250 0.2500  0.07
Cl5 0.7500 0.2500 0.5000  0.63
Cl6 0.8750 0.7255 0.7500  0.08

---

Entry 7:
## Mg2PbCl (PBE)

Data for a relaxed Mg2PbCl crystal.

energy above the most stable polymorph in this dataset = 137 meV per atom
space group = No. 65
uncorrected formation energy = -1.7 eV/f.u.

abc: 3.5153 3.5153 9.3715
angles: 90.00 90.00 119.87
Atoms (fractional coordinates):
Pb1 0.5000 0.5000 0.2500
Mg1 0.0000 0.0000 0.9742
Mg2 0.0000 0.0000 0.5258
Cl1 0.5000 0.5000 0.7500

---

Entry 8:
## Y2Tm4Mg (PBE)

Data for a relaxed Y2Tm4Mg crystal.

formation energy from the elements = 111 meV/atom
space group = No. 11

abc: 5.9930 6.4466 11.3245
angles: 90.00 105.25 90.00
Atoms (fractional coordinates):
Y1 0.3868 0.2500 0.9979
Y2 0.2799 0.2500 0.4220
Y3 0.6132 0.7500 0.0021
Y4 0.7201 0.7500 0.5780
Mg1 0.8388 0.2500 0.8338
Mg2 0.1612 0.7500 0.1662
Tm1 0.6475 0.0017 0.2883
Tm2 0.6475 0.4983 0.2883
Tm3 0.1458 0.7500 0.4409
Tm4 0.8542 0.2500 0.5591
Tm5 0.0350 0.7500 0.8746
Tm6 0.3525 0.5017 0.7117
Tm7 0.9650 0.2500 0.1254
Tm8 0.3525 0.9983 0.7117

---

Entry 9:
## CaHgBi4 (PBE)

Data for a relaxed CaHgBi4 crystal.

energy above the most stable polymorph in this dataset = 0 meV per atom
formation energy from the elements = -207 meV/atom
space group = No. 71

abc: 5.7040 6.5944 6.5912
angles: 61.50 64.36 64.37
Atoms (fractional coordinates):
Hg1 0.0000 0.5000 0.0000
Bi1 0.6681 0.5787 0.5850
Bi2 0.3319 0.9144 0.9217
Bi3 0.6681 0.0856 0.0783
Bi4 0.3319 0.4213 0.4150
Ca1 0.0000 0.0000 0.5000

---

Entry 10:
## SrAlCd2 (PBE)

Data for a relaxed SrAlCd2 crystal.

formation energy from the elements = -221 meV/atom
space group = No. 62

abc: 6.1806 7.5926 8.8921
angles: 90.00 90.00 90.00
Atoms (fractional coordinates):
Al1 0.1265 0.7500 0.1044
Al2 0.3735 0.7500 0.6044
Al3 0.6265 0.2500 0.3956
Al4 0.8735 0.2500 0.8956
Sr1 0.6250 0.7500 0.9565
Sr2 0.8750 0.7500 0.4565
Sr3 0.1250 0.2500 0.5435
Sr4 0.3750 0.2500 0.0435
Cd1 0.8851 0.4454 0.1829
Cd2 0.6149 0.4454 0.6829
Cd3 0.6149 0.0546 0.6829
Cd4 0.1149 0.9454 0.8171
Cd5 0.1149 0.5546 0.8171
Cd6 0.3851 0.9454 0.3171
Cd7 0.8851 0.0546 0.1829
Cd8 0.3851 0.5546 0.3171

---

Entry 11:
## AlBrCl2 (PBE)

Data for a relaxed AlBrCl2 crystal.

energy above the most stable polymorph in this dataset = 919 meV per atom
space group = No. 35
uncorrected formation energy = -1.7 eV/f.u.

abc: 6.3957 6.3957 8.3457
angles: 90.00 90.00 148.36
Atoms (fractional coordinates):
Al1 0.0000 0.0000 0.4957
Cl1 0.5000 0.5000 0.3073
Cl2 0.0000 0.0000 0.9922
Br1 0.5000 0.5000 0.7049

---

Entry 12:
## Tb2NdNi (PBE)

Data for a relaxed Tb2NdNi crystal.

energy above the most stable polymorph in this dataset = 51 meV per atom
formation energy from the elements = -165 meV/atom
space group = No. 123

abc: 3.4636 3.4636 8.8813
angles: 90.00 90.00 90.00
Atoms (fractional coordinates):
Tb1 0.0000 0.0000 0.8186
Tb2 0.0000 0.0000 0.1814
Nd1 0.5000 0.5000 0.5000
Ni1 0.5000 0.5000 0.0000

---

Entry 13:
## CeThVN3 (PBE)

Data for a relaxed CeThVN3 crystal.

space group = No. 11
uncorrected formation energy = -7.4 eV/f.u.

abc: 3.5175 7.4020 7.6117
angles: 94.53 90.00 90.00
Each line ends with the local moment (μB).
Atoms (fractional coordinates):
N1 0.7500 0.3854 0.1293  -0.01
N2 0.7500 0.1587 0.5141  0.00
N3 0.2500 0.1214 0.8450  -0.01
N4 0.2500 0.6146 0.8707  -0.01
N5 0.2500 0.8413 0.4859  0.00
N6 0.7500 0.8786 0.1550  -0.01
Th1 0.2500 0.6303 0.1836  0.00
Th2 0.7500 0.3697 0.8164  0.00
Ce1 0.7500 0.8479 0.8404  0.24
Ce2 0.2500 0.1521 0.1596  0.24
V1 0.2500 0.0887 0.5913  0.02
V2 0.7500 0.9113 0.4087  0.02

---

Entry 14:
## TaBe2Os (PBE)

Data for a relaxed TaBe2Os crystal.

energy above the most stable polymorph in this dataset = 301 meV per atom
formation energy from the elements = 1 meV/atom
space group = No. 12

abc: 6.0715 4.0326 3.0532
angles: 89.85 60.04 124.31
Atoms (fractional coordinates):
Ta1 0.5000 0.5000 0.0000
Be1 0.0000 0.0000 0.0000
Be2 0.5000 0.0000 0.5000
Os1 0.0000 0.5000 0.5000

---

Entry 15:
## HfNb3P (PBE)

Data for a relaxed HfNb3P crystal.

energy above the most stable polymorph in this dataset = 564 meV per atom
formation energy from the elements = 18 meV/atom
space group = No. 221

abc: 4.6544 4.6544 4.6544
angles: 90.00 90.00 90.00
Atoms (fractional coordinates):
Nb1 0.5000 0.0000 0.0000
Nb2 0.0000 0.5000 0.0000
Nb3 0.0000 0.0000 0.5000
Hf1 0.5000 0.5000 0.5000
P1 0.0000 0.0000 0.0000

---

Entry 16:
## MgZrZnS2 (PBE)

Data for a relaxed MgZrZnS2 crystal.

space group = No. 123
uncorrected formation energy = -0.9 eV/f.u.

abc: 4.9300 4.9300 6.1231
angles: 90.00 90.00 90.00
Each line ends with the local moment (μB).
Atoms (fractional coordinates):
S1 0.0000 0.5000 0.0000  -0.01
S2 0.5000 0.0000 0.0000  -0.01
Zn1 0.5000 0.5000 0.5000  0.00
Mg1 0.0000 0.0000 0.5000  0.01
Zr1 0.0000 0.0000 0.0000  0.09

---

Entry 17:
## CsZr3Al (PBE)

Data for a relaxed CsZr3Al crystal.

energy above the most stable polymorph in this dataset = 935 meV per atom
formation energy from the elements = 1964 meV/atom
space group = No. 221

abc: 5.2202 5.2202 5.2202
angles: 90.00 90.00 90.00
Each line ends with the local moment (μB).
Atoms (fractional coordinates):
Al1 0.5000 0.5000 0.5000  0.00
Zr1 0.0000 0.0000 0.5000  0.07
Zr2 0.0000 0.5000 0.0000  0.08
Zr3 0.5000 0.0000 0.0000  0.08
Cs1 0.0000 0.0000 0.0000  0.01

---

Entry 18:
## K2MgBe (PBE)

Data for a relaxed K2MgBe crystal.

energy above the most stable polymorph in this dataset = 86 meV per atom
formation energy from the elements = 576 meV/atom
space group = No. 122

abc: 12.8052 12.8052 9.3802
angles: 46.96 46.96 90.00
Atoms (fractional coordinates):
K1 0.3750 0.5559 0.7500
K2 0.3059 0.6250 0.2500
K3 0.4441 0.1250 0.2500
K4 0.8750 0.6941 0.7500
Mg1 0.0000 0.0000 0.0000
Mg2 0.7500 0.2500 0.5000
Be1 0.5000 0.5000 0.0000
Be2 0.2500 0.7500 0.5000

---

Entry 19:
## NaLi6Ag8 (PBE)

Data for a relaxed NaLi6Ag8 crystal.

formation energy from the elements = -93 meV/atom
space group = No. 148

abc: 7.2820 7.2820 7.2820
angles: 59.34 59.34 59.34
Atoms (fractional coordinates):
Na1 0.0000 0.0000 0.0000
Ag1 0.8237 0.6567 0.1228
Ag2 0.1228 0.8237 0.6567
Ag3 0.5914 0.5914 0.5914
Ag4 0.4086 0.4086 0.4086
Ag5 0.8772 0.1763 0.3433
Ag6 0.6567 0.1228 0.8237
Ag7 0.1763 0.3433 0.8772
Ag8 0.3433 0.8772 0.1763
Li1 0.9608 0.7074 0.4888
Li2 0.7074 0.4888 0.9608
Li3 0.2926 0.5112 0.0392
Li4 0.0392 0.2926 0.5112
Li5 0.4888 0.9608 0.7074
Li6 0.5112 0.0392 0.2926

---

Entry 20:
## In7HgPb12 (PBE)

Data for a relaxed In7HgPb12 crystal.

formation energy from the elements = 111 meV/atom
space group = No. 2

abc: 6.6815 10.9346 10.9370
angles: 64.03 78.24 101.71
Atoms (fractional coordinates):
In1 0.1377 0.8200 0.8558
In2 0.9932 0.8556 0.3246
In3 0.6825 0.6758 0.1801
In4 0.5000 0.0000 0.0000
In5 0.3175 0.3242 0.8199
In6 0.8623 0.1800 0.1442
In7 0.0068 0.1444 0.6754
Pb1 0.3587 0.1843 0.1639
Pb2 0.7501 0.5197 0.5003
Pb3 0.8256 0.3480 0.8159
Pb4 0.2499 0.4803 0.4997
Pb5 0.6413 0.8157 0.8361
Pb6 0.1744 0.6520 0.1841
Pb7 0.5226 0.1638 0.6520
Pb8 0.7696 0.0201 0.4802
Pb9 0.2304 0.9799 0.5198
Pb10 0.2505 0.5000 0.9803
Pb11 0.7495 0.5000 0.0197
Pb12 0.4774 0.8362 0.3480
Hg1 0.0000 0.0000 0.0000

---

Entry 21:
## La8Ir2Pd (PBE)

Data for a relaxed La8Ir2Pd crystal.

formation energy from the elements = -392 meV/atom
space group = No. 8

abc: 6.1592 8.0209 8.0209
angles: 115.94 100.09 100.09
Atoms (fractional coordinates):
La1 0.9998 0.2246 0.7811
La2 0.8235 0.6313 0.6313
La3 0.5775 0.3440 0.0979
La4 0.1762 0.3748 0.3748
La5 0.5775 0.0979 0.3440
La6 0.4219 0.9084 0.6621
La7 0.4219 0.6621 0.9084
La8 0.9998 0.7811 0.2246
Ir1 0.4999 0.2918 0.7146
Ir2 0.4999 0.7146 0.2918
Pd1 0.0017 0.0032 0.0032

---

Entry 22:
## WI3Br (PBE)

Data for a relaxed WI3Br crystal.

energy above the most stable polymorph in this dataset = 0 meV per atom
space group = No. 221
uncorrected formation energy = 2.2 eV/f.u.

abc: 5.4404 5.4404 5.4404
angles: 90.00 90.00 90.00
Each line ends with the local moment (μB).
Atoms (fractional coordinates):
I1 0.0000 0.5000 0.0000  0.00
I2 0.0000 0.0000 0.5000  0.01
I3 0.5000 0.0000 0.0000  -0.01
Br1 0.5000 0.5000 0.5000  -0.03
W1 0.0000 0.0000 0.0000  0.35

---

Entry 23:
## HSBr2 (PBE)

Data for a relaxed HSBr2 crystal.

energy above the most stable polymorph in this dataset = 175 meV per atom
space group = No. 166

abc: 7.7830 7.7830 7.7830
angles: 26.35 26.35 26.35
Atoms (fractional coordinates):
Br1 0.8945 0.8945 0.8945
Br2 0.1055 0.1055 0.1055
H1 0.5000 0.5000 0.5000
S1 0.0000 0.0000 0.0000

---

Entry 24:
## Ba2ScCd (PBE)

Data for a relaxed Ba2ScCd crystal.

formation energy from the elements = 221 meV/atom
space group = No. 166

abc: 11.7305 11.7305 11.7305
angles: 19.62 19.62 19.62
Each line ends with the local moment (μB).
Atoms (fractional coordinates):
Cd1 0.2500 0.2500 0.2500  -0.02
Ba1 0.9975 0.9975 0.9975  0.01
Ba2 0.5025 0.5025 0.5025  0.01
Sc1 0.7500 0.7500 0.7500  0.37

---

Entry 25:
## DyWS2 (PBE)

Data for a relaxed DyWS2 crystal.

space group = No. 166
uncorrected formation energy = -1.6 eV/f.u.

abc: 3.3219 3.3219 8.8142
angles: 79.14 79.14 60.00
Each line ends with the local moment (μB).
Atoms (fractional coordinates):
S1 0.1064 0.1064 0.6807  0.00
S2 0.8936 0.8936 0.3193  0.00
W1 0.5000 0.5000 0.5000  0.04
Dy1 0.0000 0.0000 0.0000  0.12

---

Number 1: D(E_F) 4.9 states/eV per cell. Number 2: D(E_F) 6.0 states/eV per cell. Number 3: D(E_F) 3.6 states/eV per cell. Number 4: D(E_F) 1.5 states/eV per cell. Number 5: D(E_F) 4.0 states/eV per cell. Number 6: D(E_F) 12.2 states/eV per cell. Number 7: D(E_F) 2.1 states/eV per cell. Number 8: D(E_F) 20.1 states/eV per cell. Number 9: D(E_F) 3.6 states/eV per cell. Number 10: D(E_F) 6.3 states/eV per cell. Number 11: D(E_F) 1.0 states/eV per cell. Number 12: D(E_F) 4.1 states/eV per cell. Number 13: D(E_F) 11.2 states/eV per cell. Number 14: D(E_F) 1.7 states/eV per cell. Number 15: D(E_F) 4.8 states/eV per cell. Number 16: D(E_F) 2.7 states/eV per cell. Number 17: D(E_F) 9.8 states/eV per cell. Number 18: D(E_F) 7.1 states/eV per cell. Number 19: D(E_F) 5.7 states/eV per cell. Number 20: D(E_F) 8.4 states/eV per cell. Number 21: D(E_F) 11.6 states/eV per cell. Number 22: D(E_F) 4.3 states/eV per cell. Number 23: D(E_F) 2.0 states/eV per cell. Number 24: D(E_F) 6.0 states/eV per cell. Number 25: D(E_F) 4.8 states/eV per cell.